Record 1
This record from Alexandria via LeMat-Bulk describes a geometry-optimized NaHg3F4 structure. The functional is GGA-PBE.

Unit cell a=5.4276 b=6.2494 c=7.9458 alpha=90.00 beta=90.00 gamma=90.00
Fractional positions:
F1 0.8678 0.4229 0.6808
F2 0.8678 0.4229 0.3192
F3 0.7733 0.9684 0.5000
F4 0.7171 0.2550 0.0000
F5 0.3678 0.5771 0.8192
F6 0.2171 0.7450 0.5000
F7 0.2733 0.0316 0.0000
F8 0.3678 0.5771 0.1808
Na1 0.1047 0.3712 0.0000
Na2 0.6047 0.6288 0.5000
Hg1 0.6522 0.7422 0.0000
Hg2 0.5162 0.1803 0.7419
Hg3 0.0162 0.8197 0.2419
Hg4 0.0162 0.8197 0.7581
Hg5 0.5162 0.1803 0.2581
Hg6 0.1522 0.2578 0.5000

Calculated values
Total DFT energy (no corrections) (eV for the cell shown): -41.95
Symmetry: Pmn2_1, No. 31

---

Record 2
This record from Alexandria via LeMat-Bulk describes a geometry-optimized Na5HgF8 structure. The functional is GGA-PBE.

Unit cell a=6.1618 b=6.1618 c=6.1618 alpha=110.06 beta=108.30 gamma=110.06
Each line ends with the local moment (μB).
Fractional positions:
F1 0.7571 0.2425 0.3665  0.08
F2 0.2395 0.2429 0.3901  0.14
F3 0.6335 0.3906 0.8760  0.08
F4 0.1472 0.7571 0.9966  0.14
F5 0.6099 0.8494 0.8528  0.14
F6 0.0034 0.1506 0.7605  0.14
F7 0.1240 0.7575 0.5145  0.08
F8 0.4854 0.6094 0.2429  0.08
Na1 0.3890 0.1458 0.0057  0.00
Na2 0.9943 0.3833 0.1402  0.00
Na3 0.8598 0.8542 0.2431  0.00
Na4 0.5000 0.0000 0.5000  0.00
Na5 0.7569 0.6167 0.6110  0.00
Hg1 0.2500 0.5000 0.7500  0.22

Calculated values
Total DFT energy (no corrections) (eV for the cell shown): -53.32
Symmetry: I-4, No. 82

---

Record 3
This record from Alexandria via LeMat-Bulk describes a geometry-optimized NaHgF2 structure. The functional is GGA-PBE.

Unit cell a=7.3387 b=7.3387 c=7.3387 alpha=26.32 beta=26.32 gamma=26.32
Fractional positions:
F1 0.8928 0.8928 0.8928
F2 0.1072 0.1072 0.1072
Hg1 0.0000 0.0000 0.0000
Na1 0.5000 0.5000 0.5000

Calculated values
Total DFT energy (no corrections) (eV for the cell shown): -12.51
Symmetry: R-3m, No. 166

---

Record 4
This record from Alexandria via LeMat-Bulk describes a geometry-optimized Na3HgF6 structure. The functional is GGA-PBE.

Unit cell a=5.7501 b=5.9846 c=8.5506 alpha=90.00 beta=90.64 gamma=90.00
Each line ends with the local moment (μB).
Fractional positions:
F1 0.1776 0.3016 0.0748  0.14
F2 0.6776 0.1984 0.5748  0.14
F3 0.6418 0.4165 0.2510  0.07
F4 0.6981 0.1876 0.9194  0.14
F5 0.1418 0.0835 0.7510  0.07
F6 0.3019 0.8124 0.0806  0.14
F7 0.1981 0.3124 0.4194  0.14
F8 0.3582 0.5835 0.7490  0.07
F9 0.3224 0.8016 0.4252  0.14
F10 0.8224 0.6984 0.9252  0.14
F11 0.8019 0.6876 0.5806  0.14
F12 0.8582 0.9165 0.2490  0.07
Na1 0.0112 0.5592 0.2468  0.00
Na2 0.4888 0.0592 0.2532  0.00
Na3 0.0000 0.0000 0.5000  0.00
Na4 0.9888 0.4408 0.7532  0.00
Na5 0.5000 0.5000 0.0000  0.00
Na6 0.5112 0.9408 0.7468  0.00
Hg1 0.0000 0.0000 0.0000  0.28
Hg2 0.5000 0.5000 0.5000  0.28

Calculated values
Total DFT energy (no corrections) (eV for the cell shown): -73.05
Symmetry: P2_1/c, No. 14

---

Record 5
This record from Alexandria via LeMat-Bulk describes a geometry-optimized Na2Hg2F5 structure. The functional is GGA-PBE.

Unit cell a=5.7884 b=5.8930 c=9.5048 alpha=108.06 beta=107.73 gamma=90.00
Fractional positions:
F1 0.2231 0.7027 0.8745
F2 0.2906 0.0033 0.2399
F3 0.5507 0.2634 0.7601
F4 0.4493 0.5033 0.2399
F5 0.7094 0.7634 0.7601
F6 0.9189 0.1523 0.5000
F7 0.1515 0.2027 0.8745
F8 0.7769 0.8281 0.1255
F9 0.8485 0.3281 0.1255
F10 0.0811 0.6523 0.5000
Hg1 0.3263 0.3113 0.5000
Hg2 0.6737 0.8113 0.5000
Hg3 0.5000 0.4887 0.0000
Hg4 0.0000 0.9887 0.0000
Na1 0.6667 0.1761 0.2659
Na2 0.0992 0.6761 0.2659
Na3 0.3333 0.9102 0.7341
Na4 0.9008 0.4102 0.7341

Calculated values
Total DFT energy (no corrections) (eV for the cell shown): -58.68
Symmetry: Ima2, No. 46

---

Record 6
This record from Alexandria via LeMat-Bulk describes a geometry-optimized Na2HgF structure. The functional is GGA-PBE.

Unit cell a=5.0154 b=5.0154 c=5.0154 alpha=60.00 beta=60.00 gamma=60.00
Fractional positions:
Hg1 0.5000 0.5000 0.5000
Na1 0.7500 0.7500 0.7500
Na2 0.2500 0.2500 0.2500
F1 0.0000 0.0000 0.0000

Calculated values
Total DFT energy (no corrections) (eV for the cell shown): -8.59
Symmetry: Fm-3m, No. 225